9
Lattice="7.0418 -2.0099 0.0000 7.0418 2.0099 0.0000 -3.7992 0.0000 12.2772" Properties=species:S:1:pos:R:3 comment="Ac6HoIn2, relaxed, DFT GGA-PBE" rho_g_cm3=8.4 dos_ef_per_ev_fu=10.83 space_group="No. 12" formation_enthalpy_0k_ev_per_atom=-0.17 pbc="T T T"
Ac -0.8319 0.0000 4.1029
Ac 2.8126 0.0000 4.9098
Ac 4.1653 0.0000 1.4683
Ac 6.1190 0.0000 10.8089
Ac 7.4717 0.0000 7.3675
Ac 11.1162 0.0000 8.1743
Ho 0.0000 0.0000 0.0000
In 1.9179 0.0000 10.1319
In 8.3663 0.0000 2.1453

4
Lattice="3.9015 0.0000 0.0000 0.0000 3.9015 0.0000 0.0000 0.0000 7.9302" Properties=species:S:1:pos:R:3 comment="AcHoIn2, relaxed, DFT GGA-PBE" rho_g_cm3=8.6 dos_ef_per_ev_fu=2.95 space_group="No. 123" formation_enthalpy_0k_ev_per_atom=-0.44 pbc="T T T"
Ac 0.0000 0.0000 0.0000
Ho 0.0000 0.0000 3.9651
In 1.9507 1.9507 2.2352
In 1.9507 1.9507 5.6950

12
Lattice="6.6319 -5.2726 0.0000 6.6319 5.2726 0.0000 0.0000 0.0000 5.9107" Properties=species:S:1:pos:R:3 comment="Ac2HoIn3, relaxed, DFT GGA-PBE" rho_g_cm3=7.7 dos_ef_per_ev_fu=6.53 space_group="No. 63" polymorph_energy_mev_per_atom=204 formation_enthalpy_0k_ev_per_atom=-0.23 pbc="T T T"
Ac 4.7763 3.0977 4.4330
Ac 8.4874 3.0977 4.4330
Ac 4.7763 -3.0977 1.4777
Ac 8.4874 -3.0977 1.4777
Ho 6.6319 1.0959 1.4777
Ho 6.6319 -1.0959 4.4330
In 6.6319 4.3318 1.4777
In 4.0520 0.0000 0.0000
In 4.0520 0.0000 2.9553
In 9.2118 0.0000 0.0000
In 9.2118 0.0000 2.9553
In 6.6319 -4.3318 4.4330

13
Lattice="-6.7340 6.7340 2.5273 6.7340 -6.7340 2.5273 6.7340 6.7340 -2.5273" Properties=species:S:1:pos:R:3 comment="Ac5Ho4In4, relaxed, DFT GGA-PBE" rho_g_cm3=8.2 dos_ef_per_ev_fu=15.94 space_group="No. 87" formation_enthalpy_0k_ev_per_atom=-0.28 pbc="T T T"
Ac 0.0000 0.0000 0.0000
Ac 5.0515 4.0165 0.0000
Ac 2.7174 -1.6825 2.5273
Ac 4.0165 8.4164 0.0000
Ac 1.6825 2.7174 2.5273
Ho 7.8417 1.3185 0.0000
Ho 1.3185 5.6262 0.0000
Ho 5.4155 1.1078 2.5273
Ho -1.1078 5.4155 2.5273
In 3.3778 0.9308 0.0000
In 5.8031 -3.3562 2.5273
In 0.9308 10.0901 0.0000
In 3.3562 5.8031 2.5273